# 1
{
  "formula": "Pu2SnO11",
  "functional": "PBE-GGA",
  "state": "optimized geometry",
  "final_energy_ev_per_atom": -7.81,
  "dos_at_fermi_per_ev_fu": 9.38,
  "m_tot_mub_per_fu": 3.50,
  "cell": [[7.927, 0.000, 0.000], [-2.561, 7.521, 0.000], [-2.617, -3.807, 8.042]],
  "species": ["Pu", "Pu", "Pu", "Pu", "Sn", "Sn", "O", "O", "O", "O", "O", "O", "O", "O", "O", "O", "O", "O", "O", "O", "O", "O", "O", "O", "O", "O", "O", "O"],
  "fractional_positions": [[0.000, 0.000, 0.000], [0.194, 0.696, 0.506], [0.438, 0.441, 0.003], [0.752, 0.253, 0.497], [0.234, 0.214, 0.501], [0.481, 0.960, 0.001], [0.081, 0.106, 0.233], [0.106, 0.581, 0.284], [0.167, 0.260, 0.990], [0.177, 0.939, 0.490], [0.230, 0.942, 0.033], [0.281, 0.492, 0.524], [0.305, 0.827, 0.740], [0.364, 0.343, 0.771], [0.429, 0.693, 0.008], [0.493, 0.255, 0.481], [0.518, 0.228, 0.001], [0.529, 0.544, 0.226], [0.559, 0.877, 0.577], [0.595, 0.900, 0.460], [0.646, 0.117, 0.264], [0.734, 0.992, 0.969], [0.800, 0.636, 0.087], [0.841, 0.653, 0.969], [0.843, 0.362, 0.720], [0.912, 0.878, 0.778], [0.924, 0.516, 0.495], [0.972, 0.183, 0.512]]
}

# 2
{
  "formula": "SrPuSnO6",
  "functional": "PBE-GGA",
  "state": "optimized geometry",
  "final_energy_ev_per_atom": -7.84,
  "dos_at_fermi_per_ev_fu": 6.47,
  "m_tot_mub_per_fu": 2.00,
  "cell": [[5.552, 0.000, 0.000], [-2.776, 4.808, 0.000], [0.000, 0.000, 10.799]],
  "species": ["Sr", "Sr", "Pu", "Pu", "Sn", "Sn", "O", "O", "O", "O", "O", "O", "O", "O", "O", "O", "O", "O"],
  "fractional_positions": [[0.000, 0.000, 0.000], [0.000, 0.000, 0.500], [0.333, 0.667, 0.250], [0.667, 0.333, 0.750], [0.333, 0.667, 0.750], [0.667, 0.333, 0.250], [0.003, 0.368, 0.145], [0.003, 0.635, 0.355], [0.365, 0.368, 0.355], [0.365, 0.997, 0.145], [0.368, 0.003, 0.645], [0.368, 0.365, 0.855], [0.632, 0.635, 0.145], [0.632, 0.997, 0.355], [0.635, 0.003, 0.855], [0.635, 0.632, 0.645], [0.997, 0.365, 0.645], [0.997, 0.632, 0.855]]
}

no.,formation energy without anion corrections (eV per atom)
1,-1.584
2,-2.313